# PBEsol MoOsPt, relaxed
# size of the total moment	0.000	μB per formula unit
# polymorph energy (0 for the lowest one)	0.0	meV per atom
# symmetry	No. 44
data_MoOsPt
_chemical_formula_sum 'Mo1 Os1 Pt1'
_symmetry_space_group_name_H-M 'P 1'
_symmetry_Int_Tables_number 1
_cell_length_a 4.776
_cell_length_b 4.776
_cell_length_c 4.776
_cell_angle_alpha 147.27
_cell_angle_beta 131.26
_cell_angle_gamma 59.96
loop_
_symmetry_equiv_pos_as_xyz
'x,y,z'
loop_
_atom_site_label
_atom_site_fract_x
_atom_site_fract_y
_atom_site_fract_z
Mo1 0.000 0.000 0.000
Os1 0.659 0.659 0.000
Pt1 0.328 0.328 0.000